1.
# BaLaNpN4

A geometry-optimized BaLaNpN4 structure (PBE-GGA, Alexandria).

Cell lengths 7.2268, 7.2268, 7.2268 Å; angles 145.49, 145.49, 49.60 degrees
Fractional coordinates of all 7 atoms:
Ba (0.0000, 0.0000, 0.0000)
La (0.7087, 0.7087, 0.0000)
Np (0.3525, 0.3525, 0.0000)
N (0.1989, 0.1989, 0.0000)
N (0.3384, 0.8384, 0.5000)
N (0.5103, 0.5103, 0.0000)
N (0.8384, 0.3384, 0.5000)

Calculated values
formation energy (no corrections): -1024 meV/atom

=====

2.
# Mg2SiPt

A geometry-optimized Mg2SiPt structure (PBE-GGA, Alexandria).

Cell lengths 2.9375, 3.8823, 5.7209 Å; angles 90.00, 90.00, 90.00 degrees
Fractional coordinates of all 4 atoms:
Mg (0.0000, 0.0000, 0.2416)
Mg (0.0000, 0.0000, 0.7584)
Si (0.5000, 0.5000, 0.5000)
Pt (0.5000, 0.5000, 0.0000)

Calculated values
formation energy (no corrections): -432 meV/atom

=====

3.
# ZnNiAg

A geometry-optimized ZnNiAg structure (PBE-GGA, Alexandria).

Cell lengths 4.2457, 4.2457, 2.7482 Å; angles 90.00, 90.00, 120.00 degrees
Fractional coordinates of all 3 atoms:
Zn (0.0000, 0.0000, 0.0000)
Ni (0.3333, 0.6667, 0.8209)
Ag (0.6667, 0.3333, 0.4052)

Calculated values
E_form: 0.0519 eV per atom
offset from the most stable computed form: 0.0756 eV per atom